Compound: TiBrO2
Source: the Alexandria database
Functional: PBE-GGA
Structure: optimized geometry

Its symmetry is No. 166. For the excess energy over the best structure of this formula in the dataset, the calculation gives 1921 meV/atom. As for the total magnetization: 0.00 μB per atom. The formation energy from raw total energies is -0.42 eV/f.u. For the total energy, the calculation gives -0.3657 Ry/atom.

Lattice parameters (Å, degrees): 7.7491 7.7491 7.7491 22.87 22.87 22.87
Sites, in units of the cell vectors:
1 O 0.9218 0.9218 0.9218
2 O 0.0782 0.0782 0.0782
3 Br 0.5000 0.5000 0.5000
4 Ti 0.0000 0.0000 0.0000